[1]
VASP calculation (PBE) on crystalline BAsP2 at its relaxed geometry.

```
BAsP2
1.0
5.573 0.000 0.000
0.000 3.294 0.000
-2.031 0.000 5.240
B As P
1 1 2
direct
0.000 0.000 0.000 B
0.867 0.000 0.605 As
0.041 0.500 0.165 P
0.163 0.500 0.584 P
```

Properties
calculated total energy: -21.5 eV per cell
excess energy over the best structure of this formula in the dataset: 84 meV per atom
energy of formation from the pure elements: 154 meV/atom
calculated density: 2.55 g/cm3



[2]
VASP calculation (PBE) on crystalline BAsP2 at its relaxed geometry.

```
BAsP2
1.0
4.991 -1.482 0.000
4.991 1.482 0.000
-4.649 0.000 5.397
B As P
1 1 2
direct
0.000 0.000 0.000 B
0.988 0.988 0.281 As
0.448 0.448 0.771 P
0.698 0.698 0.144 P
```

Properties
calculated total energy: -20.6 eV per cell
excess energy over the best structure of this formula in the dataset: 305 meV per atom
energy of formation from the pure elements: 374 meV/atom
calculated density: 3.07 g/cm3



[3]
VASP calculation (PBE) on crystalline BAsP2 at its relaxed geometry.

```
BAsP2
1.0
-2.775 2.775 4.083
2.775 -2.775 4.083
2.775 2.775 -4.083
B As P
2 2 4
direct
0.000 0.000 0.000 B
0.750 0.250 0.500 B
0.250 0.750 0.500 As
0.500 0.500 0.000 As
0.048 0.625 0.923 P
0.375 0.298 0.423 P
0.702 0.125 0.077 P
0.875 0.952 0.577 P
```

Properties
calculated total energy: -42.8 eV per cell
excess energy over the best structure of this formula in the dataset: 121 meV per atom
energy of formation from the pure elements: 191 meV/atom
calculated density: 3.90 g/cm3



[4]
VASP calculation (PBE) on crystalline BAsP3 at its relaxed geometry.

```
BAsP3
1.0
4.709 0.000 0.000
0.000 4.709 0.000
0.000 0.000 4.709
B As P
1 1 3
direct
0.000 0.000 0.000 B
0.500 0.500 0.500 As
0.000 0.500 0.500 P
0.500 0.000 0.500 P
0.500 0.500 0.000 P
```

Properties
calculated total energy: -18.1 eV per cell
excess energy over the best structure of this formula in the dataset: 1043 meV per atom
energy of formation from the pure elements: 1890 meV/atom
calculated density: 2.84 g/cm3



[5]
VASP calculation (PBE) on crystalline BAsP2 at its relaxed geometry.

```
BAsP2
1.0
3.337 0.000 0.000
0.431 3.459 0.000
0.538 1.188 5.393
B As P
1 1 2
direct
0.000 0.000 0.000 B
0.990 0.569 0.763 As
0.476 0.945 0.192 P
0.539 0.383 0.474 P
```

Properties
calculated total energy: -21.4 eV per cell
excess energy over the best structure of this formula in the dataset: 114 meV per atom
energy of formation from the pure elements: 183 meV/atom
calculated density: 3.94 g/cm3



[6]
VASP calculation (PBE) on crystalline BAs3P at its relaxed geometry.

```
BAs3P
1.0
4.733 0.000 0.000
0.000 4.733 0.000
0.000 0.000 4.733
B As P
1 3 1
direct
0.000 0.000 0.000 B
0.000 0.500 0.500 As
0.500 0.000 0.500 As
0.500 0.500 0.000 As
0.500 0.500 0.500 P
```

Properties
calculated total energy: -18.4 eV per cell
excess energy over the best structure of this formula in the dataset: 590 meV per atom
energy of formation from the pure elements: 1518 meV/atom
calculated density: 4.18 g/cm3



[7]
VASP calculation (PBE) on crystalline ReBAsP at its relaxed geometry.

```
ReBAsP
1.0
2.647 -1.530 0.000
2.647 1.530 0.000
-1.805 0.000 8.392
Re B As P
1 1 1 1
direct
0.000 0.000 0.000 Re
0.269 0.269 0.813 B
0.408 0.408 0.218 As
0.899 0.899 0.705 P
```

Properties
calculated total energy: -29.4 eV per cell
excess energy over the best structure of this formula in the dataset: 0 meV per atom
energy of formation from the pure elements: -52 meV/atom
calculated density: 7.40 g/cm3



[8]
VASP calculation (PBE) on crystalline ReBAsP at its relaxed geometry.

```
ReBAsP
1.0
3.761 -1.554 0.000
3.761 1.554 0.000
-0.129 0.000 5.302
Re B As P
1 1 1 1
direct
0.000 0.000 0.000 Re
0.289 0.289 0.966 B
0.717 0.717 0.283 As
0.470 0.470 0.669 P
```

Properties
calculated total energy: -28.3 eV per cell
excess energy over the best structure of this formula in the dataset: 281 meV per atom
energy of formation from the pure elements: 229 meV/atom
calculated density: 8.12 g/cm3



[9]
VASP calculation (PBE) on crystalline ReBAsP at its relaxed geometry.

```
ReBAsP
1.0
1.523 0.879 8.059
-1.523 0.879 8.059
0.000 -1.759 8.059
Re B As P
1 1 1 1
direct
0.000 0.000 0.000 Re
0.399 0.399 0.399 B
0.590 0.590 0.590 As
0.103 0.103 0.103 P
```

Properties
calculated total energy: -29.2 eV per cell
excess energy over the best structure of this formula in the dataset: 54 meV per atom
energy of formation from the pure elements: 2 meV/atom
calculated density: 7.77 g/cm3



[10]
VASP calculation (PBE) on crystalline ReBAsP at its relaxed geometry.

```
ReBAsP
1.0
3.057 0.000 0.000
-1.529 2.648 0.000
0.000 0.000 8.057
Re B As P
1 1 1 1
direct
0.000 0.000 0.000 Re
0.667 0.333 0.805 B
0.667 0.333 0.227 As
0.000 0.000 0.692 P
```

Properties
calculated total energy: -29.4 eV per cell
excess energy over the best structure of this formula in the dataset: 0 meV per atom
energy of formation from the pure elements: -52 meV/atom
calculated density: 7.71 g/cm3



[11]
VASP calculation (PBE) on crystalline ReBAsP at its relaxed geometry.

```
ReBAsP
1.0
3.625 -1.522 0.000
3.625 1.522 0.000
-0.714 0.000 6.224
Re B As P
1 1 1 1
direct
0.000 0.000 0.000 Re
0.286 0.286 0.940 B
0.315 0.315 0.275 As
0.663 0.663 0.761 P
```

Properties
calculated total energy: -28.6 eV per cell
excess energy over the best structure of this formula in the dataset: 188 meV per atom
energy of formation from the pure elements: 136 meV/atom
calculated density: 7.32 g/cm3



[12]
VASP calculation (PBE) on crystalline ReBAsP at its relaxed geometry.

```
ReBAsP
1.0
1.537 0.888 7.578
-1.537 0.888 7.578
0.000 -1.775 7.578
Re B As P
1 1 1 1
direct
0.000 0.000 0.000 Re
0.602 0.602 0.602 B
0.883 0.883 0.883 As
0.407 0.407 0.407 P
```

Properties
calculated total energy: -28.8 eV per cell
excess energy over the best structure of this formula in the dataset: 146 meV per atom
energy of formation from the pure elements: 94 meV/atom
calculated density: 8.11 g/cm3